Record 1
Li2MgGaBi: relaxed, PBE.

Calculated values
**Formation energy**: 0.8 eV/f.u.
**Density**: 3.98 g/cm3

Structure (CIF):
```
data_Li2MgGaBi
_cell_length_a 4.8896
_cell_length_b 4.8896
_cell_length_c 5.5299
_cell_angle_alpha 90.00
_cell_angle_beta 90.00
_cell_angle_gamma 90.00
_space_group_name_H-M_alt 'P 4/m m m'
_space_group_IT_number 123
_space_group_name_Hall '-P 4 2'
loop_
_atom_site_label
_atom_site_type_symbol
_atom_site_fract_x
_atom_site_fract_y
_atom_site_fract_z
Li1 Li 0.0000 0.5000 0.0000
Mg1 Mg 0.0000 0.0000 0.5000
Ga1 Ga 0.5000 0.5000 0.0000
Bi1 Bi 0.5000 0.5000 0.5000
```

---

Record 2
Na2Li3GaBi4: relaxed, PBE.

Calculated values
**Formation energy**: -3.0 eV/f.u.
**Density**: 5.89 g/cm3

Structure (CIF):
```
data_Na2Li3GaBi4
_cell_length_a 4.6439
_cell_length_b 4.6439
_cell_length_c 12.7021
_cell_angle_alpha 90.00
_cell_angle_beta 90.00
_cell_angle_gamma 90.00
_space_group_name_H-M_alt 'P -4 m 2'
_space_group_IT_number 115
loop_
_space_group_symop_operation_xyz
'x,y,z'
'y,-x,-z'
'-x,-y,z'
'-y,x,-z'
'-x,y,z'
'-y,-x,-z'
'x,-y,z'
'y,x,-z'
loop_
_atom_site_label
_atom_site_type_symbol
_atom_site_fract_x
_atom_site_fract_y
_atom_site_fract_z
Na1 Na 0.0000 0.5000 0.2368
Li1 Li 0.0000 0.0000 0.0000
Li2 Li 0.0000 0.5000 0.6466
Ga1 Ga 0.5000 0.5000 0.0000
Bi1 Bi 0.0000 0.0000 0.5000
Bi2 Bi 0.0000 0.5000 0.8644
Bi3 Bi 0.5000 0.5000 0.5000
```

---

Record 3
LiGa2BiO6: relaxed, PBE.

Calculated values
**Density**: 6.68 g/cm3
**Raw formation energy**: -1.4719 eV/atom

Structure (CIF):
```
data_LiGa2BiO6
_cell_length_a 5.2566
_cell_length_b 5.2566
_cell_length_c 14.0685
_cell_angle_alpha 90.00
_cell_angle_beta 90.00
_cell_angle_gamma 120.00
_space_group_name_H-M_alt 'R 3'
_space_group_IT_number 146
_space_group_name_Hall 'R 3'
loop_
_atom_site_label
_atom_site_type_symbol
_atom_site_fract_x
_atom_site_fract_y
_atom_site_fract_z
Li1 Li 0.0000 0.0000 0.0000
Ga1 Ga 0.0000 0.0000 0.2863
Ga2 Ga 0.0000 0.0000 0.7806
Bi1 Bi 0.0000 0.0000 0.4941
O1 O 0.0194 0.3803 0.5534
O2 O 0.0207 0.6362 0.0538
```

---

Record 4
LiGaBi2O5: relaxed, PBE.

Calculated values
**Density**: 8.02 g/cm3
**Raw formation energy**: -1.4768 eV/atom

Structure (CIF):
```
data_LiGaBi2O5
_cell_length_a 3.3621
_cell_length_b 14.6749
_cell_length_c 9.6460
_cell_angle_alpha 90.00
_cell_angle_beta 90.00
_cell_angle_gamma 90.00
_space_group_name_H-M_alt 'C m c 21'
_space_group_IT_number 36
loop_
_space_group_symop_operation_xyz
'x,y,z'
'-x,-y,z+1/2'
'-x,y,z'
'x,-y,z+1/2'
'x+1/2,y+1/2,z'
'-x+1/2,-y+1/2,z+1/2'
'-x+1/2,y+1/2,z'
'x+1/2,-y+1/2,z+1/2'
loop_
_atom_site_label
_atom_site_type_symbol
_atom_site_fract_x
_atom_site_fract_y
_atom_site_fract_z
Li1 Li 0.0000 0.2146 0.0000
Ga1 Ga 0.0000 0.4349 0.4702
Bi1 Bi 0.0000 0.1246 0.3007
Bi2 Bi 0.0000 0.1442 0.6870
O1 O 0.0000 0.0603 0.0660
O2 O 0.0000 0.2952 0.6786
O3 O 0.0000 0.3213 0.3773
O4 O 0.0000 0.3449 0.0280
O5 O 0.0000 0.4891 0.8139
```

---

Record 5
LiPuGaBi: relaxed, PBE.

Calculated values
**Formation energy**: -0.5 eV/f.u.
**Density**: 9.24 g/cm3

Structure (CIF):
```
data_LiPuGaBi
_cell_length_a 7.2467
_cell_length_b 7.2467
_cell_length_c 7.2467
_cell_angle_alpha 90.00
_cell_angle_beta 90.00
_cell_angle_gamma 90.00
_space_group_name_H-M_alt 'F -4 3 m'
_space_group_IT_number 216
_space_group_name_Hall 'F -4 2 3'
loop_
_atom_site_label
_atom_site_type_symbol
_atom_site_fract_x
_atom_site_fract_y
_atom_site_fract_z
Li1 Li 0.0000 0.0000 0.0000
Pu1 Pu 0.2500 0.2500 0.7500
Ga1 Ga 0.0000 0.0000 0.5000
Bi1 Bi 0.2500 0.2500 0.2500
```

---

Record 6
Li2GaReBi: relaxed, PBE.

Calculated values
**Formation energy**: 5.0 eV/f.u.
**Density**: 6.01 g/cm3

Structure (CIF):
```
data_Li2GaReBi
_cell_length_a 5.0192
_cell_length_b 5.0192
_cell_length_c 5.2524
_cell_angle_alpha 90.00
_cell_angle_beta 90.00
_cell_angle_gamma 90.00
_space_group_name_H-M_alt 'P 4/m m m'
_space_group_IT_number 123
_space_group_name_Hall '-P 4 2'
loop_
_atom_site_label
_atom_site_type_symbol
_atom_site_fract_x
_atom_site_fract_y
_atom_site_fract_z
Li1 Li 0.0000 0.5000 0.0000
Ga1 Ga 0.0000 0.0000 0.5000
Re1 Re 0.5000 0.5000 0.5000
Bi1 Bi 0.5000 0.5000 0.0000
```

---

Record 7
Li2GaBiRu: relaxed, PBE.

Calculated values
**Formation energy**: 1.3 eV/f.u.
**Density**: 6.65 g/cm3

Structure (CIF):
```
data_Li2GaBiRu
_cell_length_a 4.5932
_cell_length_b 4.5932
_cell_length_c 4.6611
_cell_angle_alpha 90.00
_cell_angle_beta 90.00
_cell_angle_gamma 90.00
_space_group_name_H-M_alt 'P 4/m m m'
_space_group_IT_number 123
_space_group_name_Hall '-P 4 2'
loop_
_atom_site_label
_atom_site_type_symbol
_atom_site_fract_x
_atom_site_fract_y
_atom_site_fract_z
Li1 Li 0.0000 0.5000 0.0000
Ga1 Ga 0.0000 0.0000 0.0000
Bi1 Bi 0.5000 0.5000 0.5000
Ru1 Ru 0.0000 0.0000 0.5000
```

---

Record 8
LiGa2BiRu: relaxed, PBE.

Calculated values
**Formation energy**: 4.1 eV/f.u.
**Density**: 7.47 g/cm3

Structure (CIF):
```
data_LiGa2BiRu
_cell_length_a 4.4958
_cell_length_b 4.4958
_cell_length_c 5.0205
_cell_angle_alpha 90.00
_cell_angle_beta 90.00
_cell_angle_gamma 90.00
_space_group_name_H-M_alt 'P 4/m m m'
_space_group_IT_number 123
_space_group_name_Hall '-P 4 2'
loop_
_atom_site_label
_atom_site_type_symbol
_atom_site_fract_x
_atom_site_fract_y
_atom_site_fract_z
Li1 Li 0.0000 0.0000 0.0000
Ga1 Ga 0.0000 0.5000 0.0000
Bi1 Bi 0.0000 0.0000 0.5000
Ru1 Ru 0.5000 0.5000 0.5000
```

---

Record 9
Li2GaBiS: relaxed, PBE.

Calculated values
**Density**: 4.48 g/cm3
**Raw formation energy**: -0.3792 eV/atom

Structure (CIF):
```
data_Li2GaBiS
_cell_length_a 4.5508
_cell_length_b 4.5508
_cell_length_c 5.8055
_cell_angle_alpha 90.00
_cell_angle_beta 90.00
_cell_angle_gamma 90.00
_space_group_name_H-M_alt 'P 4/m m m'
_space_group_IT_number 123
_space_group_name_Hall '-P 4 2'
loop_
_atom_site_label
_atom_site_type_symbol
_atom_site_fract_x
_atom_site_fract_y
_atom_site_fract_z
Li1 Li 0.0000 0.5000 0.0000
Ga1 Ga 0.0000 0.0000 0.5000
Bi1 Bi 0.5000 0.5000 0.5000
S1 S 0.5000 0.5000 0.0000
```

---

Record 10
Li2GaBiSe4: relaxed, PBE.

Calculated values
**Density**: 5.66 g/cm3
**Raw formation energy**: -0.7013 eV/atom

Structure (CIF):
```
data_Li2GaBiSe4
_cell_length_a 11.2864
_cell_length_b 11.2210
_cell_length_c 7.8179
_cell_angle_alpha 90.00
_cell_angle_beta 133.81
_cell_angle_gamma 90.00
_space_group_name_H-M_alt 'C 1 2/c 1'
_space_group_IT_number 15
loop_
_space_group_symop_operation_xyz
'x,y,z'
'-x,-y,-z'
'-x,y,-z+1/2'
'x,-y,z+1/2'
'x+1/2,y+1/2,z'
'-x+1/2,-y+1/2,-z'
'-x+1/2,y+1/2,-z+1/2'
'x+1/2,-y+1/2,z+1/2'
loop_
_atom_site_label
_atom_site_type_symbol
_atom_site_fract_x
_atom_site_fract_y
_atom_site_fract_z
Li1 Li 0.0000 0.0000 0.0000
Li2 Li 0.2500 0.2500 0.0000
Ga1 Ga 0.0000 0.5000 0.0000
Bi1 Bi 0.2500 0.2500 0.5000
Se1 Se 0.9999 0.2564 0.5168
Se2 Se 0.2254 0.4912 0.9727
```

---

Record 11
LiGaSnBi: relaxed, PBE.

Calculated values
**Formation energy**: -0.3 eV/f.u.
**Density**: 7.04 g/cm3

Structure (CIF):
```
data_LiGaSnBi
_cell_length_a 7.2538
_cell_length_b 7.2538
_cell_length_c 7.2538
_cell_angle_alpha 90.00
_cell_angle_beta 90.00
_cell_angle_gamma 90.00
_space_group_name_H-M_alt 'F -4 3 m'
_space_group_IT_number 216
_space_group_name_Hall 'F -4 2 3'
loop_
_atom_site_label
_atom_site_type_symbol
_atom_site_fract_x
_atom_site_fract_y
_atom_site_fract_z
Li1 Li 0.0000 0.0000 0.0000
Ga1 Ga 0.0000 0.0000 0.5000
Sn1 Sn 0.2500 0.2500 0.2500
Bi1 Bi 0.2500 0.2500 0.7500
```

---

Record 12
Sr2Li3GaBi4: relaxed, PBE.

Calculated values
**Formation energy**: -5.6 eV/f.u.
**Density**: 6.52 g/cm3

Structure (CIF):
```
data_Sr2Li3GaBi4
_cell_length_a 4.9344
_cell_length_b 4.9344
_cell_length_c 11.5251
_cell_angle_alpha 90.00
_cell_angle_beta 90.00
_cell_angle_gamma 90.00
_space_group_name_H-M_alt 'P -4 m 2'
_space_group_IT_number 115
loop_
_space_group_symop_operation_xyz
'x,y,z'
'y,-x,-z'
'-x,-y,z'
'-y,x,-z'
'-x,y,z'
'-y,-x,-z'
'x,-y,z'
'y,x,-z'
loop_
_atom_site_label
_atom_site_type_symbol
_atom_site_fract_x
_atom_site_fract_y
_atom_site_fract_z
Sr1 Sr 0.0000 0.5000 0.2377
Li1 Li 0.0000 0.5000 0.8742
Li2 Li 0.5000 0.5000 0.5000
Ga1 Ga 0.0000 0.0000 0.5000
Bi1 Bi 0.0000 0.0000 0.0000
Bi2 Bi 0.0000 0.5000 0.6359
Bi3 Bi 0.5000 0.5000 0.0000
```